# 1
A geometry-optimized SbPb structure. Source: the Alexandria database, functional PBEsol.

Unit cell a=3.825 b=3.825 c=3.825 alpha=90.00 beta=90.00 gamma=90.00
Element x y z (fractional)
Pb (0.000, 0.000, 0.000)
Sb (0.500, 0.500, 0.500)

Calculated values
Total magnetic moment, μB per cell: 0.00
Crystal system: cubic
Total energy, eV per atom: -4.189

---

# 2
A geometry-optimized SbPb4 structure. Source: the Alexandria database, functional PBEsol.

Unit cell a=4.816 b=6.008 c=6.008 alpha=80.76 beta=66.37 gamma=66.37
Element x y z (fractional)
Pb (0.599, 0.197, 0.604)
Pb (0.796, 0.604, 0.803)
Pb (0.401, 0.803, 0.396)
Pb (0.204, 0.396, 0.197)
Sb (0.000, 0.000, 0.000)

Calculated values
Total magnetic moment, μB per cell: 0.00
Crystal system: tetragonal
E above lowest polymorph, eV/atom: 0.000
Total energy, eV per atom: -4.076

---

# 3
A geometry-optimized Sb3Pb structure. Source: the Alexandria database, functional PBEsol.

Unit cell a=4.786 b=4.786 c=4.786 alpha=90.00 beta=90.00 gamma=90.00
Element x y z (fractional)
Pb (0.000, 0.000, 0.000)
Sb (0.000, 0.500, 0.500)
Sb (0.500, 0.000, 0.500)
Sb (0.500, 0.500, 0.000)

Calculated values
Total magnetic moment, μB per cell: 0.00
Crystal system: cubic
E above lowest polymorph, eV/atom: 0.000
Total energy, eV per atom: -4.242

---

# 4
A geometry-optimized SbPb structure. Source: the Alexandria database, functional PBEsol.

Unit cell a=3.353 b=5.398 c=6.666 alpha=90.00 beta=107.16 gamma=90.00
Element x y z (fractional)
Pb (0.837, 0.750, 0.675)
Pb (0.163, 0.250, 0.325)
Sb (0.551, 0.750, 0.178)
Sb (0.449, 0.250, 0.822)

Calculated values
Total magnetic moment, μB per cell: 0.00
Crystal system: monoclinic
Total energy, eV per atom: -4.216